(1)
PmTaN2O after structural relaxation. Source: the Open Quantum Materials Database, functional PBE.

VASP energy   -47.291 eV/cell
Crystal system   monoclinic
Size of the total moment   0.0 μB/f.u.
Space group   Pm (6)

Lattice parameters (Å, degrees): 3.980 3.823 4.428 90.00 90.08 90.00
Sites, in units of the cell vectors:
Pm  0.000  0.000  0.000
Ta  0.500  0.500  0.451
N  0.000  0.500  0.358
N  0.500  0.500  0.878
O  0.500  0.000  0.326

=====

(2)
Be4Ir after structural relaxation. Source: the Open Quantum Materials Database, functional PBE.

VASP energy   -100.643 eV/cell
Crystal system   cubic
Size of the total moment   0.0 μB/f.u.
Space group   P2_13 (198)

Lattice parameters (Å, degrees): 5.861 5.861 5.861 90.00 90.00 90.00
Sites, in units of the cell vectors:
Be  0.049  0.121  0.812
Be  0.050  0.950  0.450
Be  0.121  0.812  0.049
Be  0.188  0.549  0.379
Be  0.312  0.451  0.879
Be  0.379  0.188  0.549
Be  0.450  0.050  0.950
Be  0.451  0.879  0.312
Be  0.549  0.379  0.188
Be  0.550  0.550  0.550
Be  0.621  0.688  0.951
Be  0.688  0.951  0.621
Be  0.812  0.049  0.121
Be  0.879  0.312  0.451
Be  0.950  0.450  0.050
Be  0.951  0.621  0.688
Ir  0.196  0.196  0.196
Ir  0.304  0.804  0.696
Ir  0.696  0.304  0.804
Ir  0.804  0.696  0.304

=====

(3)
CsBi5Ir3 after structural relaxation. Source: the Open Quantum Materials Database, functional PBE.

VASP energy   -47.556 eV/cell
Crystal system   hexagonal
Size of the total moment   0.0 μB/f.u.
Space group   P6/mmm (191)

Lattice parameters (Å, degrees): 5.908 5.908 9.037 90.00 90.00 120.00
Sites, in units of the cell vectors:
Cs  0.000  0.000  0.000
Bi  0.000  0.000  0.500
Bi  0.333  0.667  0.255
Bi  0.333  0.667  0.745
Bi  0.667  0.333  0.255
Bi  0.667  0.333  0.745
Ir  0.000  0.500  0.500
Ir  0.500  0.000  0.500
Ir  0.500  0.500  0.500

=====

(4)
LiCu2As after structural relaxation. Source: the Open Quantum Materials Database, functional PBE.

VASP energy   -56.271 eV/cell
Crystal system   cubic
Space group   Pm-3m (221)

Lattice parameters (Å, degrees): 5.956 5.956 5.956 90.00 90.00 90.00
Sites, in units of the cell vectors:
Li  0.000  0.000  0.000
Li  0.000  0.000  0.500
Li  0.000  0.500  0.000
Li  0.500  0.000  0.000
Cu  0.238  0.238  0.238
Cu  0.238  0.238  0.762
Cu  0.238  0.762  0.238
Cu  0.238  0.762  0.762
Cu  0.762  0.238  0.238
Cu  0.762  0.238  0.762
Cu  0.762  0.762  0.238
Cu  0.762  0.762  0.762
As  0.000  0.500  0.500
As  0.500  0.000  0.500
As  0.500  0.500  0.000
As  0.500  0.500  0.500

=====

(5)
NaSmTe3As after structural relaxation. Source: the Open Quantum Materials Database, functional PBE.

VASP energy   -48.171 eV/cell
Crystal system   orthorhombic
Size of the total moment   0.0 μB/f.u.
Space group   Cmcm (63)

Lattice parameters (Å, degrees): 8.032 8.032 10.869 90.00 90.00 148.27
Sites, in units of the cell vectors:
Na  0.231  0.769  0.750
Na  0.769  0.231  0.250
Sm  0.000  0.000  0.000
Sm  0.000  0.000  0.500
Te  0.115  0.885  0.250
Te  0.356  0.644  0.050
Te  0.356  0.644  0.450
Te  0.644  0.356  0.550
Te  0.644  0.356  0.950
Te  0.885  0.115  0.750
As  0.463  0.537  0.250
As  0.537  0.463  0.750

=====

(6)
InNi15 after structural relaxation. Source: the Open Quantum Materials Database, functional PBE.

Crystal system   monoclinic
Size of the total moment   8.3 μB/f.u.
Space group   P2_1/m (11)
Polymorph energy (0 for the lowest one)   29 meV/atom

Lattice parameters (Å, degrees): 4.966 3.461 31.650 90.00 90.06 90.00
Sites, in units of the cell vectors:
In  0.124  0.250  0.191
In  0.876  0.750  0.809
Ni  0.124  0.250  0.283
Ni  0.125  0.250  0.362
Ni  0.125  0.250  0.441
Ni  0.125  0.250  0.519
Ni  0.125  0.250  0.598
Ni  0.125  0.250  0.677
Ni  0.128  0.250  0.756
Ni  0.374  0.750  0.323
Ni  0.375  0.750  0.402
Ni  0.375  0.750  0.480
Ni  0.375  0.750  0.559
Ni  0.375  0.750  0.637
Ni  0.376  0.750  0.715
Ni  0.376  0.750  0.793
Ni  0.377  0.750  0.244
Ni  0.623  0.250  0.756
Ni  0.624  0.250  0.207
Ni  0.624  0.250  0.285
Ni  0.625  0.250  0.363
Ni  0.625  0.250  0.441
Ni  0.625  0.250  0.520
Ni  0.625  0.250  0.598
Ni  0.626  0.250  0.677
Ni  0.872  0.750  0.244
Ni  0.875  0.750  0.323
Ni  0.875  0.750  0.402
Ni  0.875  0.750  0.481
Ni  0.875  0.750  0.559
Ni  0.875  0.750  0.638
Ni  0.876  0.750  0.717

=====

(7)
SrPaAsO after structural relaxation. Source: the Open Quantum Materials Database, functional PBE.

Crystal system   orthorhombic
Size of the total moment   1.9 μB/f.u.
Space group   Pmc2_1 (26)
Polymorph energy (0 for the lowest one)   0 meV/atom

Lattice parameters (Å, degrees): 4.382 7.966 6.552 90.00 90.00 90.00
Sites, in units of the cell vectors:
Sr  0.000  0.193  0.000
Sr  0.000  0.807  0.500
Pa  0.500  0.401  0.578
Pa  0.500  0.599  0.078
As  0.000  0.192  0.479
As  0.000  0.808  0.979
O  0.500  0.344  0.912
O  0.500  0.656  0.412

=====

(8)
NaTePbAuS2 after structural relaxation. Source: the Open Quantum Materials Database, functional PBE.

VASP energy   -42.790 eV/cell
Crystal system   orthorhombic
Space group   Cmcm (63)

Lattice parameters (Å, degrees): 8.097 8.097 11.435 90.00 90.00 152.69
Sites, in units of the cell vectors:
Na  0.236  0.764  0.750
Na  0.764  0.236  0.250
Te  0.424  0.576  0.250
Te  0.576  0.424  0.750
Pb  0.500  0.500  0.000
Pb  0.500  0.500  0.500
Au  0.119  0.881  0.250
Au  0.881  0.119  0.750
S  0.125  0.875  0.049
S  0.125  0.875  0.451
S  0.875  0.125  0.549
S  0.875  0.125  0.951

=====

(9)
DyTmNi2B2P2 after structural relaxation. Source: the Open Quantum Materials Database, functional PBE.

VASP energy   -50.336 eV/cell
Crystal system   tetragonal
Size of the total moment   0.0 μB/f.u.
Space group   P4mm (99)

Lattice parameters (Å, degrees): 3.866 3.866 7.840 90.00 90.00 90.00
Sites, in units of the cell vectors:
Dy  0.000  0.000  0.000
Tm  0.500  0.500  0.414
Ni  0.000  0.500  0.706
Ni  0.500  0.000  0.706
B  0.000  0.000  0.612
B  0.500  0.500  0.804
P  0.000  0.000  0.364
P  0.500  0.500  0.054

=====

(10)
Y2Zn2O5 after structural relaxation. Source: the Open Quantum Materials Database, functional PBE.

Crystal system   tetragonal
Size of the total moment   0.1 μB/f.u.
Space group   P4/mmm (123)
Polymorph energy (0 for the lowest one)   366 meV/atom

Lattice parameters (Å, degrees): 3.954 3.954 8.626 90.00 90.00 90.00
Sites, in units of the cell vectors:
Y  0.000  0.000  0.243
Y  0.000  0.000  0.757
Zn  0.500  0.500  0.000
Zn  0.500  0.500  0.500
O  0.000  0.000  0.500
O  0.000  0.500  0.146
O  0.000  0.500  0.854
O  0.500  0.000  0.146
O  0.500  0.000  0.854

=====

(11)
ZrSeS after structural relaxation. Source: the Open Quantum Materials Database, functional PBE.

Crystal system   orthorhombic
Size of the total moment   0.0 μB/f.u.
Space group   Cmm2 (35)
Polymorph energy (0 for the lowest one)   167 meV/atom

Lattice parameters (Å, degrees): 11.820 11.820 6.303 90.00 90.00 162.27
Sites, in units of the cell vectors:
Zr  0.000  0.000  0.000
Zr  0.500  0.500  0.489
Se  0.427  0.573  0.827
Se  0.573  0.427  0.827
S  0.067  0.933  0.328
S  0.933  0.067  0.328

=====

(12)
NdLuPt2 after structural relaxation. Source: the Open Quantum Materials Database, functional PBE.

Crystal system   orthorhombic
E_form   -5.0 eV/f.u.
Size of the total moment   0.0 μB/f.u.
Space group   Pmn2_1 (31)
Polymorph energy (0 for the lowest one)   0 meV/atom

Lattice parameters (Å, degrees): 4.530 7.113 5.580 90.00 90.00 90.00
Sites, in units of the cell vectors:
Nd  0.000  0.071  0.000
Nd  0.500  0.929  0.500
Lu  0.000  0.567  0.217
Lu  0.500  0.433  0.717
Pt  0.000  0.229  0.516
Pt  0.000  0.683  0.703
Pt  0.500  0.317  0.203
Pt  0.500  0.771  0.016